No. 1
Ce2TmBe PBE optimized geometry; ρ = 7.552 Mg/m³; calculated formation energy = 0.704 eV per atom; E_tot = -17.25 eV/cell
1.0
-2.3923 -1.3834 -1.5171
-2.4009 -1.2295 1.6317
-7.2041 9.3909 -0.4785
Tm Ce Be
1 2 1
Direct
0.5000 0.5000 0.5000
0.0827 0.0827 0.7519
0.9173 0.9173 0.2481
0.0000 0.0000 0.0000

No. 2
CeTm2Be PBE optimized geometry; ρ = 7.500 Mg/m³; calculated formation energy = 0.682 eV per atom; relative energy among the computed polymorphs = 0.592 eV/atom; E_tot = -15.87 eV/cell
1.0
3.3494 0.0000 0.0000
1.6747 2.9007 0.0000
1.6747 0.9669 11.0979
Tm Ce Be
2 1 1
Direct
0.9154 0.9154 0.2539
0.0846 0.0846 0.7461
0.5000 0.5000 0.5000
0.0000 0.0000 0.0000

No. 3
CeBe17V PBE optimized geometry; ρ = 3.178 Mg/m³; calculated formation energy = -0.053 eV per atom; E_tot = -79.40 eV/cell
1.0
-1.8096 -3.8039 -3.8185
4.7312 -0.1424 -3.1497
2.3216 -4.5898 2.4227
Be Ce V
17 1 1
Direct
0.0027 0.0027 0.4992
0.6526 0.6526 0.1610
0.0057 0.7102 0.2845
0.0027 0.4992 0.0027
0.4992 0.0027 0.0027
0.7102 0.0057 0.2845
0.8497 0.3381 0.3381
0.6526 0.1610 0.6526
0.3381 0.8497 0.3381
0.3381 0.3381 0.8497
0.2845 0.0057 0.7102
0.0057 0.2845 0.7102
0.1013 0.1013 0.1013
0.2845 0.7102 0.0057
0.1610 0.6526 0.6526
0.7102 0.2845 0.0057
0.9089 0.9089 0.9089
0.6603 0.6603 0.6603
0.3319 0.3319 0.3319

Question: Among the records above, which one has the highest E_tot?
Answer: CeTm2Be

Question: Look up the calculated formation energy of the third one.
Answer: -0.053 eV per atom

Question: Look up the calculated formation energy of the third one.
Answer: -0.053 eV per atom

Question: The lowest ρ belongs to which entry?
Answer: CeBe17V